# 1
The following is a PBE calculation of a geometry-optimized K2ScP structure, from Alexandria.

abc: 4.985 4.864 8.327
angles: 90.00 107.37 90.00
Fractional positions:
K (0.133, 0.000, 0.266)
K (0.867, 0.000, 0.734)
Sc (0.500, 0.500, 0.000)
P (0.000, 0.500, 0.000)

Results
Uncorrected energy   -3.609 eV/atom
E_form   -0.12 eV/atom

# 2
The following is a PBE calculation of a geometry-optimized LaHoEr5Tm2 structure, from Alexandria.

abc: 10.238 10.238 10.452
angles: 90.00 90.00 148.43
Fractional positions:
La (0.083, 0.917, 0.500)
La (0.917, 0.083, 0.000)
Ho (0.301, 0.699, 0.065)
Ho (0.699, 0.301, 0.565)
Er (0.022, 0.978, 0.787)
Er (0.114, 0.886, 0.075)
Er (0.202, 0.798, 0.763)
Er (0.220, 0.780, 0.367)
Er (0.483, 0.517, 0.078)
Er (0.517, 0.483, 0.578)
Er (0.780, 0.220, 0.867)
Er (0.798, 0.202, 0.263)
Er (0.886, 0.114, 0.575)
Er (0.978, 0.022, 0.287)
Tm (0.387, 0.613, 0.370)
Tm (0.388, 0.612, 0.786)
Tm (0.612, 0.388, 0.286)
Tm (0.613, 0.387, 0.870)

Results
Uncorrected energy   -4.410 eV/atom
E_form   0.17 eV/atom

# 3
The following is a PBE calculation of a geometry-optimized SrY2Sc structure, from Alexandria.

abc: 6.314 6.314 6.277
angles: 102.30 102.30 33.49
Fractional positions:
Sr (0.000, 0.000, 0.000)
Y (0.234, 0.234, 0.727)
Y (0.766, 0.766, 0.273)
Sc (0.500, 0.500, 0.500)

Results
Uncorrected energy   -5.027 eV/atom
E_form   0.21 eV/atom
ΔE to the lowest computed polymorph   99 meV/atom

One value per record, in order, for total moment: 0.07, 0.00, 0.00 μB/cell.
One value per record, in order, for N(E_F): 3.25, 30.21, 6.16 states/eV per cell.